LaTb2DySe4 after structural relaxation, computed with PBE-GGA.

abc: 7.177 4.094 7.251
angles: 90.00 108.83 90.00
Space group P2/m (No. 10)
Asymmetric unit:
1 La 0.000 0.000 0.000 [1 per cell]
2 Tb 0.500 0.000 0.500 [1 per cell]
3 Tb 0.500 0.500 0.000 [1 per cell]
4 Dy 0.000 0.500 0.500 [1 per cell]
5 Se 0.254 0.000 0.743 [2 per cell]
6 Se 0.260 0.500 0.262 [2 per cell]

Values from the calculation:
- DOS(E_F): 4.970 states/eV/f.u.
- Volume: 201.67 Å³/f.u.
- Uncorrected formation energy: -1.815 eV per atom

---

Ce2DyErTl4 after structural relaxation, computed with PBE-GGA.

abc: 5.4331 5.4331 26.6519
angles: 90.00 90.00 120.00
Space group R-3m (No. 166, hexagonal axes)
Asymmetric unit:
1 Ce 0.0000 0.0000 0.2503 [6 per cell]
2 Dy 0.0000 0.0000 0.5000 [3 per cell]
3 Er 0.0000 0.0000 0.0000 [3 per cell]
4 Tl 0.0000 0.0000 0.1248 [6 per cell]
5 Tl 0.0000 0.0000 0.3748 [6 per cell]

Values from the calculation:
- DOS(E_F): 17.991 states/eV/f.u.
- ΔH_f (0 K): -0.27 eV/atom
- Volume: 227.11 Å³/f.u.

---

Dy4Er5Th4 after structural relaxation, computed with PBE-GGA.

abc: 12.771 12.771 5.022
angles: 90.00 90.00 90.00
Space group I4/m (No. 87)
Asymmetric unit:
1 Dy 0.153 0.768 0.000 [8 per cell]
2 Er 0.000 0.000 0.000 [2 per cell]
3 Er 0.039 0.194 0.500 [8 per cell]
4 Th 0.076 0.386 0.000 [8 per cell]

Values from the calculation:
- DOS(E_F): 17.833 states/eV/f.u.
- ΔH_f (0 K): 0.03 eV/atom
- Volume: 409.51 Å³/f.u.

---

Tm3Te3O after structural relaxation, computed with PBE-GGA.

abc: 9.062 15.663 6.050
angles: 90.00 90.00 90.00
Space group Cmcm (No. 63)
Asymmetric unit:
1 Tm 0.000 0.196 0.250 [4 per cell]
2 Tm 0.205 0.402 0.250 [8 per cell]
3 Te 0.000 0.186 0.750 [4 per cell]
4 Te 0.220 0.407 0.750 [8 per cell]
5 O 0.000 0.333 0.250 [4 per cell]

Values from the calculation:
- DOS(E_F): 2.558 states/eV/f.u.
- Volume: 214.70 Å³/f.u.
- Uncorrected formation energy: -1.691 eV per atom